VASP calculation (PBE-GGA) on a relaxed CePmHgRu crystal.

Structure (CIF):
```
data_CePmHgRu
_space_group_name_H-M_alt 'P 1'
_space_group_IT_number 1
_space_group_name_Hall 'P 1'
_cell_length_a 8.151
_cell_length_b 8.151
_cell_length_c 8.151
_cell_angle_alpha 28.44
_cell_angle_beta 28.44
_cell_angle_gamma 28.44
loop_
_atom_site_label
_atom_site_fract_x
_atom_site_fract_y
_atom_site_fract_z
Ce1 0.000 0.000 0.000
Pm1 0.799 0.799 0.799
Hg1 0.566 0.566 0.566
Ru1 0.389 0.389 0.389
```

Its symmetry is R3m, No. 160. The value obtained for the formation energy is -0.32 eV/atom. Its volume is 27.1 A^3/atom.